## CaPrW2O6 (PBE with a Hubbard U)

Data for CaPrW2O6 after structural relaxation.

Unit cell a=5.916 b=5.626 c=8.059 alpha=90.00 beta=90.74 gamma=90.00
Space group P2_1 (No. 4)
Unique sites:
Ca 0.194 0.000 0.240 [2 per cell]
Pr 0.310 0.036 0.760 [2 per cell]
W 0.248 0.516 0.500 [2 per cell]
W 0.248 0.517 0.000 [2 per cell]
O 0.043 0.210 0.560 [2 per cell]
O 0.059 0.201 0.947 [2 per cell]
O 0.210 0.624 0.741 [2 per cell]
O 0.286 0.406 0.259 [2 per cell]
O 0.443 0.831 0.056 [2 per cell]
O 0.460 0.818 0.439 [2 per cell]

Values from the calculation:
Energy, eV/atom: -7.573